This record from Alexandria describes a relaxed CaLaSi2 crystal. The functional is GGA-PBE.

Unit cell a=8.793 b=8.793 c=8.793 alpha=25.42 beta=25.42 gamma=25.42
Atoms (fractional coordinates):
Ca (0.250, 0.250, 0.250)
La (0.750, 0.750, 0.750)
Si (0.998, 0.998, 0.998)
Si (0.502, 0.502, 0.502)

## Properties
ΔE_f (raw), eV per atom: -0.12

---

This record from Alexandria describes a relaxed VZnPdRh crystal. The functional is GGA-PBE.

Unit cell a=2.810 b=2.810 c=7.150 alpha=90.00 beta=90.00 gamma=90.00
Last column: magnetic moment on the atom in μB.
Atoms (fractional coordinates):
V (0.000, 0.000, 0.583)  0.21
Zn (0.000, 0.000, 0.066)  0.00
Pd (0.500, 0.500, 0.321)  0.00
Rh (0.500, 0.500, 0.815)  0.01

## Properties
Energy relative to the elements, kJ per mole of atoms: -38.8

---

This record from Alexandria describes a relaxed La8NiIr3Cl4 crystal. The functional is GGA-PBE.

Unit cell a=8.345 b=9.026 c=8.345 alpha=117.57 beta=120.00 gamma=90.00
Atoms (fractional coordinates):
La (0.235, 0.703, 0.969)
La (0.234, 0.703, 0.469)
La (0.265, 0.294, 0.529)
La (0.735, 0.703, 0.969)
La (0.265, 0.297, 0.031)
La (0.735, 0.706, 0.471)
La (0.766, 0.297, 0.531)
La (0.765, 0.297, 0.031)
Ni (0.000, 0.500, 0.000)
Ir (0.500, 0.500, 0.000)
Ir (0.500, 0.500, 0.500)
Ir (0.000, 0.500, 0.500)
Cl (0.500, 0.000, 0.000)
Cl (0.500, 0.000, 0.500)
Cl (0.000, 0.000, 0.000)
Cl (0.000, 0.000, 0.500)

## Properties
ΔE_f (raw), eV per atom: -1.25

---

This record from Alexandria describes a relaxed CsMg14Ni crystal. The functional is GGA-PBE.

Unit cell a=6.493 b=6.493 c=10.775 alpha=90.00 beta=90.00 gamma=121.65
Atoms (fractional coordinates):
Cs (0.287, 0.713, 0.500)
Mg (0.838, 0.162, 0.000)
Mg (0.343, 0.657, 0.000)
Mg (0.293, 0.209, 0.500)
Mg (0.347, 0.172, 0.000)
Mg (0.791, 0.707, 0.500)
Mg (0.828, 0.653, 0.000)
Mg (0.169, 0.317, 0.245)
Mg (0.169, 0.317, 0.755)
Mg (0.683, 0.831, 0.245)
Mg (0.683, 0.831, 0.755)
Mg (0.685, 0.315, 0.291)
Mg (0.685, 0.315, 0.709)
Mg (0.169, 0.831, 0.218)
Mg (0.169, 0.831, 0.782)
Ni (0.860, 0.140, 0.500)

## Properties
Offset from the most stable computed form, meV/atom: 0
Energy relative to the elements, kJ per mole of atoms: 17.3

---

This record from Alexandria describes a relaxed KZrCr2 crystal. The functional is GGA-PBE.

Unit cell a=5.756 b=5.756 c=2.604 alpha=90.19 beta=90.19 gamma=122.09
Atoms (fractional coordinates):
Cr (0.000, 0.000, 0.000)
Cr (0.500, 0.500, 0.000)
K (0.500, 0.000, 0.500)
Zr (0.000, 0.500, 0.500)

## Properties
Offset from the most stable computed form, meV/atom: 922
Energy relative to the elements, kJ per mole of atoms: 146.5

---

This record from Alexandria describes a relaxed K2SrUS4 crystal. The functional is GGA-PBE.

Unit cell a=4.192 b=7.336 c=7.736 alpha=108.10 beta=90.00 gamma=90.00
Last column: magnetic moment on the atom in μB.
Atoms (fractional coordinates):
K (0.500, 0.000, 0.500)  0.00
K (0.000, 0.500, 0.500)  0.00
Sr (0.500, 0.500, 0.000)  0.00
U (0.000, 0.000, 0.000)  2.08
S (0.500, 0.213, 0.202)  -0.04
S (0.500, 0.787, 0.798)  -0.04
S (0.000, 0.234, 0.794)  -0.04
S (0.000, 0.766, 0.206)  -0.04

## Properties
ΔE_f (raw), eV per atom: -1.59

---

This record from Alexandria describes a relaxed KAlOs2 crystal. The functional is GGA-PBE.

Unit cell a=4.569 b=4.569 c=4.569 alpha=119.96 beta=119.96 gamma=90.07
Atoms (fractional coordinates):
K (0.750, 0.250, 0.500)
Os (0.000, 0.000, 0.000)
Os (0.250, 0.750, 0.500)
Al (0.500, 0.500, 0.000)

## Properties
Energy relative to the elements, kJ per mole of atoms: 112.0

---

This record from Alexandria describes a relaxed SmBi3Au8 crystal. The functional is GGA-PBE.

Unit cell a=5.702 b=5.702 c=9.978 alpha=73.40 beta=73.40 gamma=60.00
Atoms (fractional coordinates):
Sm (0.875, 0.875, 0.376)
Bi (0.374, 0.374, 0.877)
Bi (0.002, 0.002, 0.995)
Bi (0.499, 0.499, 0.504)
Au (0.935, 0.437, 0.191)
Au (0.441, 0.938, 0.684)
Au (0.437, 0.437, 0.191)
Au (0.938, 0.938, 0.684)
Au (0.188, 0.188, 0.436)
Au (0.687, 0.687, 0.938)
Au (0.437, 0.935, 0.191)
Au (0.938, 0.441, 0.684)

## Properties
Energy relative to the elements, kJ per mole of atoms: -23.1

---

This record from Alexandria describes a relaxed CoSBrCl2 crystal. The functional is GGA-PBE.

Unit cell a=5.131 b=5.131 c=4.963 alpha=90.00 beta=90.00 gamma=90.00
Last column: magnetic moment on the atom in μB.
Atoms (fractional coordinates):
S (0.000, 0.000, 0.500)  0.00
Co (0.500, 0.500, 0.500)  2.23
Br (0.000, 0.000, 0.000)  0.00
Cl (0.000, 0.500, 0.000)  0.01
Cl (0.500, 0.000, 0.000)  0.01

## Properties
Offset from the most stable computed form, meV/atom: 818
ΔE_f (raw), eV per atom: 1.03

---

This record from Alexandria describes a relaxed CsSnBiI6 crystal. The functional is GGA-PBE.

Unit cell a=8.168 b=8.168 c=8.572 alpha=90.00 beta=90.00 gamma=59.98
Atoms (fractional coordinates):
Cs (0.000, 0.000, 0.000)
Sn (0.667, 0.667, 0.500)
Bi (0.333, 0.333, 0.500)
I (0.009, 0.371, 0.284)
I (0.371, 0.009, 0.716)
I (0.620, 0.371, 0.716)
I (0.009, 0.620, 0.716)
I (0.371, 0.620, 0.284)
I (0.620, 0.009, 0.284)

## Properties
ΔE_f (raw), eV per atom: -0.72

---

This record from Alexandria describes a relaxed Er4Mg5Hg2 crystal. The functional is GGA-PBE.

Unit cell a=3.474 b=7.925 c=10.374 alpha=93.47 beta=90.00 gamma=90.00
Atoms (fractional coordinates):
Er (0.500, 0.734, 0.553)
Er (0.500, 0.159, 0.882)
Er (0.500, 0.266, 0.447)
Er (0.500, 0.841, 0.118)
Mg (0.000, 0.563, 0.297)
Mg (0.000, 0.198, 0.163)
Mg (0.000, 0.500, 0.000)
Mg (0.000, 0.802, 0.837)
Mg (0.000, 0.437, 0.703)
Hg (0.000, 0.060, 0.643)
Hg (0.000, 0.940, 0.357)

## Properties
Energy relative to the elements, kJ per mole of atoms: -14.8

---

This record from Alexandria describes a relaxed CsSc2ReHg crystal. The functional is GGA-PBE.

Unit cell a=5.209 b=4.949 c=5.209 alpha=90.00 beta=90.00 gamma=90.00
Atoms (fractional coordinates):
Cs (0.000, 0.000, 0.000)
Re (0.000, 0.500, 0.000)
Sc (0.000, 0.000, 0.500)
Sc (0.500, 0.000, 0.000)
Hg (0.500, 0.500, 0.500)

## Properties
Energy relative to the elements, kJ per mole of atoms: 198.0

---

This record from Alexandria describes a relaxed AgSb2P crystal. The functional is GGA-PBE.

Unit cell a=3.428 b=3.428 c=7.393 alpha=90.00 beta=90.00 gamma=89.99
Atoms (fractional coordinates):
Ag (0.500, 0.500, 0.250)
P (0.500, 0.500, 0.750)
Sb (0.000, 0.000, 0.979)
Sb (0.000, 0.000, 0.521)

## Properties
ΔE_f (raw), eV per atom: 0.36

---

no.,E_tot (eV per atom),calculated density (Mg/m³)
1,-4.56,3.54
2,-6.14,9.58
3,-6.20,6.82
4,-1.63,2.28
5,-5.70,5.32
6,-5.55,3.91
7,-5.66,10.99
8,-3.79,14.73
9,-2.29,3.07
10,-2.73,4.10
11,-2.59,6.94
12,-3.20,7.54
13,-3.77,7.31